## 1
Entry from Alexandria: an optimized crystal structure of CaNbAg (PBE-GGA).

Cell: 4.721 4.721 4.721 Å, 60.00 60.00 60.00°
Fractional coordinates of all 3 atoms:
Nb1 0.500 0.500 0.500
Ca1 0.250 0.250 0.250
Ag1 0.750 0.750 0.750

Calculated values
- Size of the total moment: 0.00 μB/f.u.
- Crystal system: cubic
- ρ: 5.38 g/cm3

## 2
Entry from Alexandria: an optimized crystal structure of CaNbAg (PBE-GGA).

Cell: 5.812 5.815 5.295 Å, 63.42 63.39 89.43°
Fractional coordinates of all 6 atoms:
Ag1 0.564 0.547 0.690
Nb1 0.095 0.015 0.191
Ca1 0.488 0.130 0.441
Ag2 0.905 0.205 0.691
Ca2 0.980 0.622 0.940
Nb2 0.373 0.737 0.191

Calculated values
- Size of the total moment: 0.00 μB/f.u.
- Crystal system: monoclinic
- ρ: 5.76 g/cm3

It comes down to 2, which is 812 meV per atom more stable than the next structure.

## 1
Entry from Alexandria: an optimized crystal structure of Ca2NbAg (PBE-GGA).

Cell: 5.297 5.297 5.297 Å, 60.00 60.00 60.00°
Fractional coordinates of all 4 atoms:
Ca1 0.250 0.250 0.250
Ca2 0.750 0.750 0.750
Ag1 0.500 0.500 0.500
Nb1 0.000 0.000 0.000

Calculated values
- Size of the total moment: 3.94 μB/f.u.
- Crystal system: cubic
- ρ: 4.44 g/cm3

## 2
Entry from Alexandria: an optimized crystal structure of Ca2NbAg (PBE-GGA).

Cell: 8.356 8.356 6.705 Å, 51.46 51.46 90.00°
Fractional coordinates of all 8 atoms:
Ca1 0.655 0.125 0.250
Ag1 0.750 0.250 0.500
Ca2 0.375 0.345 0.750
Nb1 0.250 0.750 0.500
Ca3 0.875 0.905 0.750
Ca4 0.095 0.625 0.250
Nb2 0.500 0.500 0.000
Ag2 0.000 0.000 0.000

Calculated values
- Size of the total moment: 3.78 μB/f.u.
- Crystal system: tetragonal
- ρ: 4.22 g/cm3

It comes down to 1, which is 198 meV per atom more stable than the next structure.

## 1
Entry from Alexandria: an optimized crystal structure of CaNb3Ag (PBE-GGA).

Cell: 4.752 4.752 4.752 Å, 90.00 90.00 90.00°
Fractional coordinates of all 5 atoms:
Ag1 0.500 0.500 0.500
Ca1 0.000 0.000 0.000
Nb1 0.000 0.500 0.000
Nb2 0.000 0.000 0.500
Nb3 0.500 0.000 0.000

Calculated values
- Size of the total moment: 0.00 μB/f.u.
- Crystal system: cubic
- ρ: 6.60 g/cm3

## 2
Entry from Alexandria: an optimized crystal structure of CaNb3Ag (PBE-GGA).

Cell: 5.053 5.053 5.053 Å, 90.00 90.00 90.00°
Fractional coordinates of all 5 atoms:
Nb1 0.500 0.000 0.000
Nb2 0.000 0.500 0.000
Ag1 0.000 0.000 0.000
Nb3 0.000 0.000 0.500
Ca1 0.500 0.500 0.500

Calculated values
- Size of the total moment: 0.00 μB/f.u.
- Crystal system: cubic
- ρ: 5.49 g/cm3

It comes down to 2, which is 701 meV per atom more stable than the next structure.

## 1
Entry from Alexandria: an optimized crystal structure of CaNd2Ag2 (PBE-GGA).

Cell: 4.827 5.756 11.861 Å, 109.42 90.00 90.00°
Fractional coordinates of all 10 atoms:
Ca1 0.250 0.798 0.218
Ag1 0.750 0.657 0.021
Ag2 0.750 0.137 0.362
Ag3 0.250 0.343 0.979
Ag4 0.250 0.863 0.638
Ca2 0.750 0.202 0.782
Nd1 0.750 0.710 0.463
Nd2 0.750 0.222 0.121
Nd3 0.250 0.778 0.879
Nd4 0.250 0.290 0.537

Calculated values
- Size of the total moment: 0.00 μB/f.u.
- Crystal system: monoclinic
- ρ: 5.82 g/cm3

## 2
Entry from Alexandria: an optimized crystal structure of CaNd2Ag2 (PBE-GGA).

Cell: 3.979 8.543 8.543 Å, 90.00 90.00 90.00°
Fractional coordinates of all 10 atoms:
Nd1 0.500 0.338 0.162
Ag1 0.000 0.127 0.373
Nd2 0.500 0.662 0.838
Nd3 0.500 0.162 0.662
Ag2 0.000 0.373 0.873
Ca1 0.000 0.000 0.000
Ag3 0.000 0.873 0.627
Ca2 0.000 0.500 0.500
Nd4 0.500 0.838 0.338
Ag4 0.000 0.627 0.127

Calculated values
- Size of the total moment: 0.00 μB/f.u.
- Crystal system: tetragonal
- ρ: 6.22 g/cm3

It comes down to 2, which is 84 meV per atom more stable than the next structure.

## 1
Entry from Alexandria: an optimized crystal structure of CaNdAg (PBE-GGA).

Cell: 3.704 3.704 7.145 Å, 105.02 105.02 90.00°
Fractional coordinates of all 3 atoms:
Ag1 0.667 0.667 0.335
Ca1 0.027 0.027 0.053
Nd1 0.306 0.306 0.612

Calculated values
- Size of the total moment: 0.12 μB/f.u.
- Crystal system: tetragonal
- ρ: 5.32 g/cm3

## 2
Entry from Alexandria: an optimized crystal structure of CaNdAg (PBE-GGA).

Cell: 5.174 5.174 5.174 Å, 60.00 60.00 60.00°
Fractional coordinates of all 3 atoms:
Ca1 0.500 0.500 0.500
Ag1 0.250 0.250 0.250
Nd1 0.000 0.000 0.000

Calculated values
- Size of the total moment: 0.00 μB/f.u.
- Crystal system: cubic
- ρ: 4.96 g/cm3

It comes down to 1, which is 126 meV per atom more stable than the next structure.

## 1
Entry from Alexandria: an optimized crystal structure of Ca2NdAg (PBE-GGA).

Cell: 3.793 3.793 10.889 Å, 79.97 79.97 60.00°
Fractional coordinates of all 4 atoms:
Ca1 0.264 0.264 0.207
Nd1 0.500 0.500 0.499
Ag1 0.666 0.666 0.001
Ca2 0.069 0.069 0.793

Calculated values
- Size of the total moment: 0.00 μB/f.u.
- Crystal system: trigonal
- ρ: 4.15 g/cm3

## 2
Entry from Alexandria: an optimized crystal structure of Ca2NdAg (PBE-GGA).

Cell: 3.868 6.811 10.430 Å, 90.00 90.00 106.50°
Fractional coordinates of all 8 atoms:
Ca1 0.364 0.728 0.559
Ag1 0.250 0.499 0.250
Ca2 0.364 0.728 0.941
Ca3 0.636 0.272 0.441
Nd1 0.066 0.132 0.750
Ag2 0.750 0.501 0.750
Nd2 0.934 0.868 0.250
Ca4 0.636 0.272 0.059

Calculated values
- Size of the total moment: 0.00 μB/f.u.
- Crystal system: orthorhombic
- ρ: 4.19 g/cm3

It comes down to 2, which is 79 meV per atom more stable than the next structure.

## 1
Entry from Alexandria: an optimized crystal structure of CaNdAgPt (PBE-GGA).

Cell: 5.127 5.127 5.127 Å, 60.00 60.00 60.00°
Fractional coordinates of all 4 atoms:
Pt1 0.750 0.750 0.750
Ca1 0.000 0.000 0.000
Ag1 0.250 0.250 0.250
Nd1 0.500 0.500 0.500

Calculated values
- Size of the total moment: 0.00 μB/f.u.
- Crystal system: cubic
- ρ: 8.49 g/cm3

## 2
Entry from Alexandria: an optimized crystal structure of CaNdAgPt (PBE-GGA).

Cell: 4.009 4.440 6.033 Å, 90.00 109.41 90.00°
Fractional coordinates of all 4 atoms:
Pt1 0.414 0.000 0.827
Ca1 0.143 0.000 0.286
Ag1 0.580 0.500 0.159
Nd1 0.864 0.500 0.728

Calculated values
- Size of the total moment: 0.00 μB/f.u.
- Crystal system: orthorhombic
- ρ: 7.99 g/cm3

It comes down to 2, which is 29 meV per atom more stable than the next structure.

## 1
Entry from Alexandria: an optimized crystal structure of Ca2Ni2Ag (PBE-GGA).

Cell: 3.466 3.466 9.079 Å, 78.99 78.99 90.00°
Fractional coordinates of all 5 atoms:
Ag1 0.000 0.000 0.000
Ni1 0.750 0.250 0.500
Ni2 0.250 0.750 0.500
Ca1 0.620 0.620 0.761
Ca2 0.380 0.380 0.239

Calculated values
- Size of the total moment: 0.67 μB/f.u.
- Crystal system: tetragonal
- ρ: 4.83 g/cm3

## 2
Entry from Alexandria: an optimized crystal structure of Ca2Ni2Ag (PBE-GGA).

Cell: 6.981 6.981 4.147 Å, 90.00 90.00 90.00°
Fractional coordinates of all 10 atoms:
Ni1 0.618 0.118 0.000
Ag1 0.500 0.500 0.000
Ag2 0.000 0.000 0.000
Ni2 0.382 0.882 0.000
Ca1 0.321 0.179 0.500
Ni3 0.882 0.618 0.000
Ca2 0.179 0.679 0.500
Ca3 0.821 0.321 0.500
Ni4 0.118 0.382 0.000
Ca4 0.679 0.821 0.500

Calculated values
- Size of the total moment: 0.00 μB/f.u.
- Crystal system: tetragonal
- ρ: 5.02 g/cm3

It comes down to 2, which is 102 meV per atom more stable than the next structure.